A relaxed structure of Pr2SbRh, computed with PBE.

* E_form (uncorrected): -0.868 eV/atom

```
data_Pr2SbRh
_cell_length_a 6.3116
_cell_length_b 4.3613
_cell_length_c 8.6148
_cell_angle_alpha 90.00
_cell_angle_beta 111.32
_cell_angle_gamma 90.00
_space_group_name_H-M_alt 'P 1 21/m 1'
_space_group_IT_number 11
_space_group_name_Hall '-P 2yb'
loop_
_atom_site_label
_atom_site_fract_x
_atom_site_fract_y
_atom_site_fract_z
Pr1 0.1745 0.2500 0.4009
Pr2 0.2630 0.7500 0.0496
Sb1 0.3769 0.7500 0.7050
Rh1 0.1304 0.2500 0.7926
```